No. 1
! K2NbTl | Alexandria via LeMat-Bulk | PBE | relaxed; values from VASP
! Electronic total energy = -2.56 eV/atom
! Energy relative to the elements = 425.4 kJ/mol of formula units
! Theoretical density = 4184 kg/m3
! Distance to the lowest polymorph of the same formula = 73 meV/atom
&SYSTEM
  ibrav = 0, nat = 4, ntyp = 3
/
ATOMIC_SPECIES
Tl 204.38 Tl.upf
K 39.10 K.upf
Nb 92.91 Nb.upf
CELL_PARAMETERS angstrom
0.000 4.208 4.208
4.208 0.000 4.208
4.208 4.208 0.000
ATOMIC_POSITIONS angstrom
Tl 4.208 4.208 4.208
K 6.312 6.312 6.312
K 2.104 2.104 2.104
Nb 0.000 0.000 0.000

No. 2
! KNbTl2 | Alexandria via LeMat-Bulk | PBE | relaxed; values from VASP
! Electronic total energy = -3.14 eV/atom
! Energy relative to the elements = 321.8 kJ/mol of formula units
! Theoretical density = 5490 kg/m3
! Distance to the lowest polymorph of the same formula = 173 meV/atom
&SYSTEM
  ibrav = 0, nat = 8, ntyp = 3
/
ATOMIC_SPECIES
Nb 92.91 Nb.upf
Tl 204.38 Tl.upf
K 39.10 K.upf
CELL_PARAMETERS angstrom
-4.021 3.967 2.184
0.614 -2.416 5.519
4.905 6.499 5.622
ATOMIC_POSITIONS angstrom
Nb -0.410 5.621 5.829
Nb 0.000 0.000 0.000
Tl -2.362 4.034 7.012
Tl -1.762 4.347 3.760
Tl 2.317 5.788 6.348
Tl 0.168 8.316 6.195
K -1.704 0.776 3.852
K 1.908 2.429 7.496

No. 3
! KNb2Tl | Alexandria via LeMat-Bulk | PBE | relaxed; values from VASP
! Electronic total energy = -4.57 eV/atom
! Energy relative to the elements = 513.4 kJ/mol of formula units
! Theoretical density = 8129 kg/m3
! Distance to the lowest polymorph of the same formula = 155 meV/atom
&SYSTEM
  ibrav = 0, nat = 4, ntyp = 3
/
ATOMIC_SPECIES
Nb 92.91 Nb.upf
Tl 204.38 Tl.upf
K 39.10 K.upf
CELL_PARAMETERS angstrom
0.000 3.526 3.526
3.526 0.000 3.526
3.526 3.526 0.000
ATOMIC_POSITIONS angstrom
Nb 1.763 1.763 1.763
Nb 5.289 5.289 5.289
Tl 3.526 3.526 3.526
K 0.000 0.000 0.000

No. 4
! KNb2Tl | Alexandria via LeMat-Bulk | PBE | relaxed; values from VASP
! Electronic total energy = -4.73 eV/atom
! Energy relative to the elements = 453.5 kJ/mol of formula units
! Theoretical density = 5711 kg/m3
! Distance to the lowest polymorph of the same formula = 0 meV/atom
&SYSTEM
  ibrav = 0, nat = 8, ntyp = 3
/
ATOMIC_SPECIES
Tl 204.38 Tl.upf
Nb 92.91 Nb.upf
K 39.10 K.upf
CELL_PARAMETERS angstrom
4.791 0.000 0.000
0.000 4.791 0.000
2.395 2.395 10.875
ATOMIC_POSITIONS angstrom
Tl 0.000 0.000 0.000
Tl 4.791 2.395 5.438
Nb 5.989 2.139 8.157
Nb 5.047 3.593 2.719
Nb 3.593 2.652 8.157
Nb 4.535 1.198 2.719
K 2.395 4.791 5.438
K 2.395 2.395 0.000

Which of these has the highest energy relative to the elements?
number 3

Please write out number 4 again, unchanged.
! KNb2Tl | Alexandria via LeMat-Bulk | PBE | relaxed; values from VASP
! Electronic total energy = -4.73 eV/atom
! Energy relative to the elements = 453.5 kJ/mol of formula units
! Theoretical density = 5711 kg/m3
! Distance to the lowest polymorph of the same formula = 0 meV/atom
&SYSTEM
  ibrav = 0, nat = 8, ntyp = 3
/
ATOMIC_SPECIES
Tl 204.38 Tl.upf
Nb 92.91 Nb.upf
K 39.10 K.upf
CELL_PARAMETERS angstrom
4.791 0.000 0.000
0.000 4.791 0.000
2.395 2.395 10.875
ATOMIC_POSITIONS angstrom
Tl 0.000 0.000 0.000
Tl 4.791 2.395 5.438
Nb 5.989 2.139 8.157
Nb 5.047 3.593 2.719
Nb 3.593 2.652 8.157
Nb 4.535 1.198 2.719
K 2.395 4.791 5.438
K 2.395 2.395 0.000